[1]
DFT (PBE) results for HfThIr after structural relaxation.

```
3
Lattice="0.000 3.325 3.325 3.325 0.000 3.325 3.325 3.325 0.000" Properties=species:S:1:pos:R:3 pbc="T T T"
Hf 3.325 3.325 3.325
Th 1.663 1.663 1.663
Ir 0.000 0.000 0.000
```

Summary:
Size of the total moment in μB per cell: 0.0
Energy relative to the elements in eV per atom: 0.47
E above lowest polymorph in eV per formula unit: 2.60
Symmetry: F-43m (216)
Energy in eV/atom: -8.27

=====

[2]
DFT (PBE) results for HfTl2Ir after structural relaxation.

```
4
Lattice="0.366 -4.753 1.088 0.036 -1.443 4.672 -3.845 -2.388 1.851" Properties=species:S:1:pos:R:3 pbc="T T T"
Ir -1.722 -4.292 3.806
Tl 0.000 0.000 0.000
Tl -0.861 -2.146 1.903
Hf -2.583 -6.438 5.709
```

Summary:
Size of the total moment in μB per cell: 0.0
Symmetry: F-43m (216)
Energy in eV/atom: -5.68

=====

[3]
DFT (PBE) results for HfTl2Ir after structural relaxation.

```
4
Lattice="0.000 3.458 3.458 3.458 0.000 3.458 3.458 3.458 0.000" Properties=species:S:1:pos:R:3 pbc="T T T"
Tl 5.187 5.187 5.187
Tl 0.000 0.000 0.000
Ir 1.729 1.729 1.729
Hf 3.458 3.458 3.458
```

Summary:
Size of the total moment in μB per cell: 0.0
Symmetry: F-43m (216)
Energy in eV/atom: -5.68

=====

[4]
DFT (PBE) results for Hf2TlIr after structural relaxation.

```
4
Lattice="0.000 3.387 3.387 3.387 0.000 3.387 3.387 3.387 0.000" Properties=species:S:1:pos:R:3 pbc="T T T"
Tl 3.387 3.387 3.387
Hf 5.080 5.080 5.080
Hf 0.000 0.000 0.000
Ir 1.693 1.693 1.693
```

Summary:
Size of the total moment in μB per cell: 2.0
Symmetry: F-43m (216)
Energy in eV/atom: -7.73

=====

[5]
DFT (PBE) results for HfUIr after structural relaxation.

```
3
Lattice="2.310 1.334 3.772 -2.310 1.334 3.772 0.000 -2.667 3.772" Properties=species:S:1:pos:R:3 pbc="T T T"
Hf 0.000 0.000 8.486
U 0.000 0.000 2.829
Ir 0.000 0.000 0.000
```

Summary:
Size of the total moment in μB per cell: 2.9
Energy relative to the elements in eV per atom: -0.09
E above lowest polymorph in eV per formula unit: 0.00
Symmetry: F-43m (216)
Energy in eV/atom: -10.13

=====

[6]
DFT (PBE) results for HfUIr after structural relaxation.

```
3
Lattice="-3.444 -2.913 0.570 -1.953 -0.440 4.082 -4.213 1.567 0.686" Properties=species:S:1:pos:R:3 pbc="T T T"
U 0.000 0.000 0.000
Ir -7.207 -1.339 4.004
Hf -2.402 -0.446 1.335
```

Summary:
Size of the total moment in μB per cell: 1.3
Energy relative to the elements in eV per atom: 0.45
E above lowest polymorph in eV per formula unit: 1.62
Symmetry: F-43m (216)
Energy in eV/atom: -9.59

=====

[7]
DFT (PBE) results for Hf2IrW after structural relaxation.

```
4
Lattice="0.000 3.269 3.269 3.269 0.000 3.269 3.269 3.269 0.000" Properties=species:S:1:pos:R:3 pbc="T T T"
W 3.269 3.269 3.269
Hf 4.904 4.904 4.904
Hf 0.000 0.000 0.000
Ir 1.635 1.635 1.635
```

Summary:
Size of the total moment in μB per cell: 0.0
Energy relative to the elements in eV per atom: -0.15
Symmetry: F-43m (216)
Energy in eV/atom: -10.58

=====

[8]
DFT (PBE) results for HfIr2W after structural relaxation.

```
4
Lattice="0.000 3.192 3.192 3.192 0.000 3.192 3.192 3.192 0.000" Properties=species:S:1:pos:R:3 pbc="T T T"
Ir 1.596 1.596 1.596
Ir 0.000 0.000 0.000
Hf 3.192 3.192 3.192
W 4.788 4.788 4.788
```

Summary:
Size of the total moment in μB per cell: 0.0
Energy relative to the elements in eV per atom: -0.14
Symmetry: F-43m (216)
Energy in eV/atom: -10.29

=====

[9]
DFT (PBE) results for Hf3Ir2W2 after structural relaxation.

```
7
Lattice="5.725 5.099 -1.611 7.654 0.995 -1.340 5.481 2.237 -5.131" Properties=species:S:1:pos:R:3 pbc="T T T"
Hf 16.469 7.275 -7.058
Hf 11.768 5.198 -5.043
Hf 7.090 3.132 -3.038
W 9.320 4.117 -3.994
W 0.087 0.038 -0.037
Ir 4.676 2.066 -2.004
Ir 14.244 6.292 -6.104
```

Summary:
Size of the total moment in μB per cell: 0.0
Energy relative to the elements in eV per atom: 0.15
Symmetry: R3m (160)
Energy in eV/atom: -10.35

=====

[10]
DFT (PBE) results for Y2HfIr2 after structural relaxation.

```
10
Lattice="7.055 0.000 0.000 0.000 7.055 0.000 0.000 0.000 4.412" Properties=species:S:1:pos:R:3 pbc="T T T"
Y 5.832 2.305 2.206
Y 4.750 5.832 2.206
Y 2.305 1.222 2.206
Y 1.222 4.750 2.206
Hf 3.527 3.527 0.000
Hf 0.000 0.000 0.000
Ir 0.968 2.559 0.000
Ir 4.495 0.968 0.000
Ir 6.087 4.495 0.000
Ir 2.559 6.087 0.000
```

Summary:
Size of the total moment in μB per cell: 0.0
Energy relative to the elements in eV per atom: -0.74
Symmetry: P4/mbm (127)
Energy in eV/atom: -8.86

=====

[11]
DFT (PBE) results for Y4HfIr2 after structural relaxation.

```
7
Lattice="4.446 -5.622 0.000 4.446 5.622 0.000 -0.004 0.000 3.509" Properties=species:S:1:pos:R:3 pbc="T T T"
Ir 2.221 2.811 1.755
Ir 2.221 -2.811 1.755
Y 4.446 -2.562 0.000
Y 2.611 0.000 1.744
Y 4.446 2.562 0.000
Y 6.277 0.000 1.766
Hf 0.000 0.000 0.000
```

Summary:
Size of the total moment in μB per cell: 0.2
Energy relative to the elements in eV per atom: -0.02
Symmetry: C2/m (12)
Energy in eV/atom: -7.67

=====

[12]
DFT (PBE) results for YHf2Ir after structural relaxation.

```
4
Lattice="0.000 3.448 3.448 3.448 0.000 3.448 3.448 3.448 0.000" Properties=species:S:1:pos:R:3 pbc="T T T"
Ir 3.448 3.448 3.448
Y 5.172 5.172 5.172
Hf 0.000 0.000 0.000
Hf 1.724 1.724 1.724
```

Summary:
Size of the total moment in μB per cell: 0.1
Energy relative to the elements in eV per atom: -0.10
Symmetry: F-43m (216)
Energy in eV/atom: -8.91

=====

Which of these has the lowest energy? Hf2IrW

=====

size of the total moment of number 2 (HfTl2Ir)? 0.0 μB per cell

=====

Which value of energy does entry 9 give? -10.35 eV/atom